Model w:
Sm2GaH | PBE | optimized geometry

abc: 5.277 5.288 12.330
angles: 90.00 90.00 90.00
Space group F222 (No. 22)
Inequivalent atoms, fractional coordinates:
Sm (0.000, 0.000, 0.145) x8
Ga (0.000, 0.000, 0.500) x4
H (0.250, 0.250, 0.750) x4

* density: 7.2 g/cm3



Model x:
Sm2GaH | PBE | optimized geometry

abc: 3.6898 3.6898 21.9437
angles: 90.00 90.00 120.00
Space group R-3m (No. 166, hexagonal axes)
Inequivalent atoms, fractional coordinates:
Sm (0.0000, 0.0000, 0.2327) x6
Ga (0.0000, 0.0000, 0.0000) x3
H (0.0000, 0.0000, 0.5000) x3

* density: 7.2 g/cm3



Quick one: most stable of them? model w



Model w:
SmGaH | PBE | optimized geometry

abc: 3.746 6.698 9.156
angles: 90.00 90.00 90.00
Space group Cmcm (No. 63)
Inequivalent atoms, fractional coordinates:
Sm (0.000, 0.181, 0.250) x4
Ga (0.000, 0.500, 0.000) x4
H (0.000, 0.148, 0.750) x4

* density: 6.4 g/cm3



Model x:
SmGaH | PBE | optimized geometry

abc: 3.188 3.188 11.109
angles: 90.00 90.00 90.00
Space group I4mm (No. 107)
Inequivalent atoms, fractional coordinates:
Sm (0.000, 0.000, 0.000) x2
Ga (0.000, 0.000, 0.721) x2
H (0.000, 0.000, 0.455) x2

* density: 6.5 g/cm3



Quick one: most stable of them? model w



Model w:
GaSnH2 | PBE | optimized geometry

abc: 5.968 5.968 5.968
angles: 90.00 90.00 90.00
Space group Fm-3m (No. 225)
Inequivalent atoms, fractional coordinates:
Ga (0.000, 0.000, 0.000) x4
Sn (0.000, 0.000, 0.500) x4
H (0.250, 0.250, 0.250) x8

* density: 6.0 g/cm3



Model x:
GaSnH2 | PBE | optimized geometry

abc: 5.519 5.519 7.812
angles: 90.00 90.00 90.00
Space group I-42d (No. 122)
Inequivalent atoms, fractional coordinates:
Ga (0.000, 0.000, 0.000) x4
Sn (0.000, 0.000, 0.500) x4
H (0.059, 0.250, 0.125) x8

* density: 5.3 g/cm3



Quick one: most stable of them? model x



Model w:
GaSnH3 | PBE | optimized geometry

abc: 3.861 3.861 3.861
angles: 90.00 90.00 90.00
Space group Pm-3m (No. 221)
Inequivalent atoms, fractional coordinates:
Ga (0.000, 0.000, 0.000) x1
Sn (0.500, 0.500, 0.500) x1
H (0.000, 0.000, 0.500) x3

* density: 5.5 g/cm3



Model x:
GaSnH3 | PBE | optimized geometry

abc: 4.110 4.110 4.110
angles: 90.00 90.00 90.00
Space group Pm-3m (No. 221)
Inequivalent atoms, fractional coordinates:
Ga (0.000, 0.000, 0.000) x1
Sn (0.500, 0.500, 0.500) x1
H (0.000, 0.500, 0.500) x3

* density: 4.6 g/cm3



Quick one: most stable of them? model w



Model w:
SrGa2H6 | PBE | optimized geometry

abc: 7.439 7.439 7.439
angles: 90.00 90.00 90.00
Space group Fm-3m (No. 225)
Inequivalent atoms, fractional coordinates:
Sr (0.000, 0.000, 0.000) x4
Ga (0.250, 0.250, 0.250) x8
H (0.000, 0.000, 0.368) x24

* density: 3.8 g/cm3



Model x:
SrGa2H6 | PBE | optimized geometry

abc: 5.1358 5.1358 16.8172
angles: 90.00 90.00 120.00
Space group R3m (No. 160, hexagonal axes)
Inequivalent atoms, fractional coordinates:
Sr (0.0000, 0.0000, 0.0000) x3
Ga (0.0000, 0.0000, 0.5759) x3
Ga (0.0000, 0.0000, 0.7529) x3
H (0.1705, 0.3410, 0.7847) x9
H (0.1851, 0.3703, 0.3136) x9

* density: 3.0 g/cm3



Quick one: most stable of them? model x



Model w:
Sr2GaH2 | PBE | optimized geometry

abc: 7.662 7.662 3.382
angles: 90.00 90.00 90.00
Space group P4/mbm (No. 127)
Inequivalent atoms, fractional coordinates:
Sr (0.181, 0.319, 0.000) x4
Ga (0.000, 0.000, 0.500) x2
H (0.120, 0.620, 0.500) x4

* density: 4.1 g/cm3



Model x:
Sr2GaH2 | PBE | optimized geometry

abc: 5.239 5.239 8.264
angles: 90.00 90.00 90.00
Space group I4/mmm (No. 139)
Inequivalent atoms, fractional coordinates:
Sr (0.000, 0.500, 0.250) x4
Ga (0.000, 0.000, 0.000) x2
H (0.000, 0.000, 0.259) x4

* density: 3.6 g/cm3



Quick one: most stable of them? model x



Model w:
Ta3GaH2 | PBE | optimized geometry

abc: 14.180 3.342 6.966
angles: 90.00 104.45 90.00
Space group C2/m (No. 12)
Inequivalent atoms, fractional coordinates:
Ta (0.057, 0.000, 0.319) x4
Ta (0.104, 0.500, 0.674) x4
Ta (0.226, 0.500, 0.313) x4
Ga (0.163, 0.000, 0.995) x4
H (0.005, 0.500, 0.821) x4
H (0.198, 0.000, 0.421) x4

* density: 12.8 g/cm3



Model x:
Ta3GaH2 | PBE | optimized geometry

abc: 8.205 8.976 4.167
angles: 90.00 90.00 90.00
Space group Cmcm (No. 63)
Inequivalent atoms, fractional coordinates:
Ta (0.000, 0.135, 0.250) x4
Ta (0.226, 0.369, 0.250) x8
Ga (0.000, 0.346, 0.750) x4
H (0.135, 0.000, 0.000) x8

* density: 13.3 g/cm3



Quick one: most stable of them? model x



Model w:
Ta3GaH3 | PBE | optimized geometry

abc: 5.6137 5.6137 18.2033
angles: 90.00 90.00 120.00
Space group R-3 (No. 148, hexagonal axes)
Inequivalent atoms, fractional coordinates:
Ta (0.0006, 0.3070, 0.4025) x18
Ga (0.0000, 0.0000, 0.1662) x6
H (0.0019, 0.3572, 0.6309) x18

* density: 12.3 g/cm3



Model x:
Ta3GaH3 | PBE | optimized geometry

abc: 5.393 5.393 5.393
angles: 90.00 90.00 90.00
Space group Pm-3n (No. 223)
Inequivalent atoms, fractional coordinates:
Ta (0.000, 0.250, 0.500) x6
Ga (0.000, 0.000, 0.000) x2
H (0.000, 0.500, 0.250) x6

* density: 13.0 g/cm3



Quick one: most stable of them? model x